Entry 1:
Entry from the Alexandria database: a relaxed Hf2GaPdPt5 crystal (GGA-PBE).

Output
M_tot = 0.0 μB/f.u.
energy of formation from the pure elements = -166.5 kJ/mol of formula units
calculated volume = 21.065 Å³ per atom
raw total energy = -6.673 eV per atom
SG = I4/mcm (140)

Unit cell a=8.872 b=8.872 c=8.872 alpha=131.90 beta=131.90 gamma=70.39
Positions (direct):
1 Hf 0.143 0.643 0.786
2 Hf 0.357 0.143 0.500
3 Hf 0.643 0.857 0.500
4 Hf 0.857 0.357 0.214
5 Ga 0.250 0.250 0.000
6 Ga 0.750 0.750 0.000
7 Pd 0.250 0.750 0.500
8 Pd 0.750 0.250 0.500
9 Pt 0.000 0.000 0.000
10 Pt 0.048 0.227 0.500
11 Pt 0.227 0.727 0.179
12 Pt 0.273 0.452 0.500
13 Pt 0.452 0.952 0.179
14 Pt 0.500 0.500 0.000
15 Pt 0.548 0.048 0.821
16 Pt 0.727 0.548 0.500
17 Pt 0.773 0.273 0.821
18 Pt 0.952 0.773 0.500

---

Entry 2:
Entry from the Alexandria database: a relaxed HfGaPdRh crystal (GGA-PBE).

Output
polymorph energy (0 for the lowest one) = 2.7 kJ per mole of atoms
M_tot = 0.0 μB/f.u.
energy of formation from the pure elements = -305.3 kJ/mol of formula units
calculated volume = 16.132 Å³ per atom
raw total energy = -7.172 eV per atom
SG = F-43m (216)

Unit cell a=6.367 b=6.367 c=6.367 alpha=90.00 beta=90.00 gamma=90.00
Positions (direct):
1 Hf 0.000 0.000 0.000
2 Hf 0.000 0.500 0.500
3 Hf 0.500 0.000 0.500
4 Hf 0.500 0.500 0.000
5 Ga 0.000 0.000 0.500
6 Ga 0.000 0.500 0.000
7 Ga 0.500 0.000 0.000
8 Ga 0.500 0.500 0.500
9 Pd 0.250 0.250 0.750
10 Pd 0.250 0.750 0.250
11 Pd 0.750 0.250 0.250
12 Pd 0.750 0.750 0.750
13 Rh 0.250 0.250 0.250
14 Rh 0.250 0.750 0.750
15 Rh 0.750 0.250 0.750
16 Rh 0.750 0.750 0.250

---

Entry 3:
Entry from the Alexandria database: a relaxed HfGaPdRh crystal (GGA-PBE).

Output
polymorph energy (0 for the lowest one) = 0.0 kJ per mole of atoms
M_tot = 0.0 μB/f.u.
energy of formation from the pure elements = -315.9 kJ/mol of formula units
calculated volume = 15.956 Å³ per atom
raw total energy = -7.200 eV per atom
SG = I-4m2 (119)

Unit cell a=4.114 b=4.114 c=7.541 alpha=90.00 beta=90.00 gamma=90.00
Positions (direct):
1 Hf 0.000 0.000 0.000
2 Hf 0.500 0.500 0.500
3 Ga 0.000 0.000 0.500
4 Ga 0.500 0.500 0.000
5 Pd 0.000 0.500 0.250
6 Pd 0.500 0.000 0.750
7 Rh 0.000 0.500 0.750
8 Rh 0.500 0.000 0.250

---

Number 1 is which compound?
Hf2GaPdPt5

---

The highest raw total energy belongs to which entry?
Hf2GaPdPt5

---

Which of these has the lowest energy of formation from the pure elements?
number 3